Entry 1:
Na4In5Sn2 | PBE | optimized geometry

Computed properties:
Symmetry: No. 10
ΔE_f, eV/atom: -0.10

a = 8.2256 Å, b = 3.2990 Å, c = 10.8843 Å
α = 90.00°, β = 93.17°, γ = 90.00°
Fractional positions:
Na: 0.1601 0.0000 0.3982
Na: 0.2968 0.0000 0.9463
Na: 0.7032 0.0000 0.0537
Na: 0.8399 0.0000 0.6018
In: 0.2032 0.5000 0.6672
In: 0.4287 0.5000 0.2161
In: 0.5000 0.5000 0.5000
In: 0.5713 0.5000 0.7839
In: 0.7968 0.5000 0.3328
Sn: 0.0559 0.5000 0.1383
Sn: 0.9441 0.5000 0.8617

=====

Entry 2:
CsBaPb2 | PBE | optimized geometry

Computed properties:
Symmetry: No. 225
ΔE_f, eV/atom: -0.13

a = 6.2516 Å, b = 6.2516 Å, c = 6.2516 Å
α = 60.00°, β = 60.00°, γ = 60.00°
Fractional positions:
Cs: 0.0000 0.0000 0.0000
Ba: 0.5000 0.5000 0.5000
Pb: 0.2500 0.2500 0.2500
Pb: 0.7500 0.7500 0.7500

=====

Entry 3:
Cd2CuCl | PBE | optimized geometry

Computed properties:
Symmetry: No. 6
Energy relative to the elements, uncorrected, eV per atom: -0.15

a = 4.8494 Å, b = 3.5932 Å, c = 6.1348 Å
α = 90.00°, β = 93.38°, γ = 90.00°
Fractional positions:
Cd: 0.0000 0.0000 0.0000
Cd: 0.4834 0.5000 0.8957
Cu: 0.5245 0.0000 0.2124
Cl: 0.5301 0.5000 0.4618

=====

Entry 4:
Mg2ZnRh | PBE | optimized geometry

Computed properties:
Symmetry: No. 5
ΔE_f, eV/atom: -0.37

a = 5.1261 Å, b = 5.1261 Å, c = 5.4919 Å
α = 94.11°, β = 94.11°, γ = 115.37°
Fractional positions:
Mg: 0.0000 0.0000 0.0000
Mg: 0.0524 0.5054 0.7711
Mg: 0.4946 0.9476 0.2289
Mg: 0.5152 0.4848 0.5000
Zn: 0.0187 0.9813 0.5000
Zn: 0.5438 0.4562 0.0000
Rh: 0.5292 0.0080 0.7273
Rh: 0.9920 0.4708 0.2727

=====

Entry 5:
Li2CoRh | PBE | optimized geometry

Computed properties:
Symmetry: No. 166
ΔE_f, eV/atom: 0.00

a = 8.8939 Å, b = 8.8939 Å, c = 8.8939 Å
α = 16.83°, β = 16.83°, γ = 16.83°
Fractional positions:
Li: 0.2504 0.2504 0.2504
Li: 0.7496 0.7496 0.7496
Co: 0.5000 0.5000 0.5000
Rh: 0.0000 0.0000 0.0000

=====

Entry 6:
Cu6PbO8 | PBE | optimized geometry

Computed properties:
Symmetry: No. 12
Energy relative to the elements, uncorrected, eV per atom: -0.51

a = 6.4829 Å, b = 6.4829 Å, c = 5.5192 Å
α = 109.61°, β = 109.61°, γ = 54.39°
Fractional positions:
Cu: 0.0000 0.0000 0.0000
Cu: 0.0000 0.0000 0.5000
Cu: 0.0000 0.5000 0.0000
Cu: 0.0000 0.5000 0.5000
Cu: 0.5000 0.0000 0.0000
Cu: 0.5000 0.0000 0.5000
Pb: 0.5000 0.5000 0.0000
O: 0.1538 0.7258 0.1970
O: 0.2349 0.2349 0.2576
O: 0.2742 0.8462 0.8030
O: 0.2920 0.2920 0.7469
O: 0.7080 0.7080 0.2531
O: 0.7258 0.1538 0.1970
O: 0.7651 0.7651 0.7424
O: 0.8462 0.2742 0.8030

=====

Entry 7:
AgSbI2Br | PBE | optimized geometry

Computed properties:
Symmetry: No. 123
Energy relative to the elements, uncorrected, eV per atom: 0.75

a = 5.8622 Å, b = 5.8622 Å, c = 5.8831 Å
α = 90.00°, β = 90.00°, γ = 90.00°
Fractional positions:
Ag: 0.0000 0.0000 0.0000
Sb: 0.5000 0.5000 0.0000
I: 0.0000 0.5000 0.5000
I: 0.5000 0.0000 0.5000
Br: 0.5000 0.5000 0.5000

=====

Entry 8:
CsTlSb2 | PBE | optimized geometry

Computed properties:
Symmetry: No. 26
Energy relative to the elements, uncorrected, eV per atom: -0.24

a = 4.3524 Å, b = 7.8032 Å, c = 9.8671 Å
α = 90.00°, β = 90.00°, γ = 90.00°
Fractional positions:
Cs: 0.0000 0.0493 0.0000
Cs: 0.0000 0.9507 0.5000
Tl: 0.5000 0.3420 0.6746
Tl: 0.5000 0.6580 0.1746
Sb: 0.0000 0.4573 0.4174
Sb: 0.0000 0.5427 0.9174
Sb: 0.5000 0.2854 0.2775
Sb: 0.5000 0.7146 0.7775